# ZnHg2RuI | Alexandria | PBE-GGA | relaxed
data_ZnHg2RuI
_chemical_formula_sum 'Zn1 Hg2 Ru1 I1'
_space_group_name_H-M_alt 'P 4/m m m'
_space_group_IT_number 123
_space_group_name_Hall '-P 4 2'
_cell_length_a 5.436
_cell_length_b 5.436
_cell_length_c 5.160
_cell_angle_alpha 90.00
_cell_angle_beta 90.00
_cell_angle_gamma 90.00
loop_
_atom_site_label
_atom_site_fract_x
_atom_site_fract_y
_atom_site_fract_z
Zn1 0.000 0.000 0.000
Hg1 0.000 0.500 0.500
Ru1 0.500 0.500 0.500
I1 0.500 0.500 0.000
# * E_form (uncorrected): 0.476 eV per atom